(1)
Computed, not measured: a relaxed TmZnPd crystal at the GGA-PBE level of DFT.

Relative energy among the computed polymorphs = 633 meV/atom
Energy relative to the elements = -0.1412 eV per atom
Final energy = -3.780 eV/atom

Structure (CIF):
```
data_TmZnPd
_chemical_formula_sum 'Tm4 Zn4 Pd4'
_cell_length_a 6.5398
_cell_length_b 6.5398
_cell_length_c 6.5398
_cell_angle_alpha 90.00
_cell_angle_beta 90.00
_cell_angle_gamma 90.00
_symmetry_space_group_name_H-M 'F -4 3 m'
_symmetry_Int_Tables_number 216
_symmetry_space_group_name_Hall 'F -4 2 3'
loop_
_atom_site_label
_atom_site_type_symbol
_atom_site_fract_x
_atom_site_fract_y
_atom_site_fract_z
Tm1 Tm 0.0000 0.0000 0.0000
Zn1 Zn 0.2500 0.2500 0.2500
Pd1 Pd 0.2500 0.2500 0.7500
```

(2)
Computed, not measured: a relaxed Tm3Zn2Pd crystal at the GGA-PBE level of DFT.

Energy relative to the elements = -0.5696 eV per atom
Final energy = -4.091 eV/atom

Structure (CIF):
```
data_Tm3Zn2Pd
_chemical_formula_sum 'Tm3 Zn2 Pd1'
_cell_length_a 3.5101
_cell_length_b 3.5101
_cell_length_c 10.3583
_cell_angle_alpha 90.00
_cell_angle_beta 90.00
_cell_angle_gamma 90.00
_symmetry_space_group_name_H-M 'P 4/m m m'
_symmetry_Int_Tables_number 123
_symmetry_space_group_name_Hall '-P 4 2'
loop_
_atom_site_label
_atom_site_type_symbol
_atom_site_fract_x
_atom_site_fract_y
_atom_site_fract_z
Tm1 Tm 0.0000 0.0000 0.0000
Tm2 Tm 0.0000 0.0000 0.3379
Zn1 Zn 0.5000 0.5000 0.1654
Pd1 Pd 0.5000 0.5000 0.5000
```

(3)
Computed, not measured: a relaxed Tm5Zn4Pd crystal at the GGA-PBE level of DFT.

Energy relative to the elements = -0.4834 eV per atom
Final energy = -3.744 eV/atom

Structure (CIF):
```
data_Tm5Zn4Pd
_chemical_formula_sum 'Tm5 Zn4 Pd1'
_cell_length_a 3.5174
_cell_length_b 3.5174
_cell_length_c 17.4096
_cell_angle_alpha 90.00
_cell_angle_beta 90.00
_cell_angle_gamma 90.00
_symmetry_space_group_name_H-M 'P 4/m m m'
_symmetry_Int_Tables_number 123
_symmetry_space_group_name_Hall '-P 4 2'
loop_
_atom_site_label
_atom_site_type_symbol
_atom_site_fract_x
_atom_site_fract_y
_atom_site_fract_z
Tm1 Tm 0.0000 0.0000 0.0000
Tm2 Tm 0.0000 0.0000 0.2021
Tm3 Tm 0.0000 0.0000 0.4036
Zn1 Zn 0.5000 0.5000 0.1020
Zn2 Zn 0.5000 0.5000 0.3009
Pd1 Pd 0.5000 0.5000 0.5000
```

(4)
Computed, not measured: a relaxed TmZnPd crystal at the GGA-PBE level of DFT.

Relative energy among the computed polymorphs = 0 meV/atom
Energy relative to the elements = -0.7746 eV per atom
Final energy = -4.413 eV/atom

Structure (CIF):
```
data_TmZnPd
_chemical_formula_sum 'Tm4 Zn4 Pd4'
_cell_length_a 6.9725
_cell_length_b 4.0124
_cell_length_c 8.2160
_cell_angle_alpha 90.00
_cell_angle_beta 90.00
_cell_angle_gamma 90.00
_symmetry_space_group_name_H-M 'P n m a'
_symmetry_Int_Tables_number 62
_symmetry_space_group_name_Hall '-P 2ac 2n'
loop_
_atom_site_label
_atom_site_type_symbol
_atom_site_fract_x
_atom_site_fract_y
_atom_site_fract_z
Tm1 Tm 0.0507 0.2500 0.1870
Zn1 Zn 0.1304 0.2500 0.5634
Pd1 Pd 0.2450 0.2500 0.8774
```

(5)
Computed, not measured: a relaxed TmZnPd crystal at the GGA-PBE level of DFT.

Relative energy among the computed polymorphs = 8 meV/atom
Energy relative to the elements = -0.7665 eV per atom
Final energy = -4.405 eV/atom

Structure (CIF):
```
data_TmZnPd
_chemical_formula_sum 'Tm3 Zn3 Pd3'
_cell_length_a 7.2370
_cell_length_b 7.2370
_cell_length_c 3.8157
_cell_angle_alpha 90.00
_cell_angle_beta 90.00
_cell_angle_gamma 120.00
_symmetry_space_group_name_H-M 'P -6 2 m'
_symmetry_Int_Tables_number 189
_symmetry_space_group_name_Hall 'P -6 -2'
loop_
_atom_site_label
_atom_site_type_symbol
_atom_site_fract_x
_atom_site_fract_y
_atom_site_fract_z
Tm1 Tm 0.0000 0.5953 0.0000
Zn1 Zn 0.0000 0.2524 0.5000
Pd1 Pd 0.0000 0.0000 0.0000
Pd2 Pd 0.3333 0.6667 0.5000
```

(6)
Computed, not measured: a relaxed TmZnPd crystal at the GGA-PBE level of DFT.

Relative energy among the computed polymorphs = 3 meV/atom
Energy relative to the elements = -0.7717 eV per atom
Final energy = -4.410 eV/atom

Structure (CIF):
```
data_TmZnPd
_chemical_formula_sum 'Tm4 Zn4 Pd4'
_cell_length_a 6.8491
_cell_length_b 4.1569
_cell_length_c 8.0684
_cell_angle_alpha 90.00
_cell_angle_beta 90.00
_cell_angle_gamma 90.00
_symmetry_space_group_name_H-M 'P n m a'
_symmetry_Int_Tables_number 62
_symmetry_space_group_name_Hall '-P 2ac 2n'
loop_
_atom_site_label
_atom_site_type_symbol
_atom_site_fract_x
_atom_site_fract_y
_atom_site_fract_z
Tm1 Tm 0.0386 0.2500 0.1887
Zn1 Zn 0.1433 0.2500 0.5642
Pd1 Pd 0.2473 0.7500 0.3807
```

(7)
Computed, not measured: a relaxed TmZnPd crystal at the GGA-PBE level of DFT.

Relative energy among the computed polymorphs = 187 meV/atom
Energy relative to the elements = -0.5872 eV per atom
Final energy = -4.226 eV/atom

Structure (CIF):
```
data_TmZnPd
_chemical_formula_sum 'Tm4 Zn4 Pd4'
_cell_length_a 6.4027
_cell_length_b 6.4027
_cell_length_c 6.4027
_cell_angle_alpha 90.00
_cell_angle_beta 90.00
_cell_angle_gamma 90.00
_symmetry_space_group_name_H-M 'F -4 3 m'
_symmetry_Int_Tables_number 216
_symmetry_space_group_name_Hall 'F -4 2 3'
loop_
_atom_site_label
_atom_site_type_symbol
_atom_site_fract_x
_atom_site_fract_y
_atom_site_fract_z
Tm1 Tm 0.0000 0.0000 0.0000
Zn1 Zn 0.0000 0.0000 0.5000
Pd1 Pd 0.2500 0.2500 0.2500
```

(8)
Computed, not measured: a relaxed TmZrZn2Pd4 crystal at the GGA-PBE level of DFT.

Energy relative to the elements = -0.7120 eV per atom
Final energy = -5.244 eV/atom

Structure (CIF):
```
data_TmZrZn2Pd4
_chemical_formula_sum 'Tm1 Zr1 Zn2 Pd4'
_cell_length_a 4.5951
_cell_length_b 4.5951
_cell_length_c 6.5161
_cell_angle_alpha 90.00
_cell_angle_beta 90.00
_cell_angle_gamma 90.00
_symmetry_space_group_name_H-M 'P 4/m m m'
_symmetry_Int_Tables_number 123
_symmetry_space_group_name_Hall '-P 4 2'
loop_
_atom_site_label
_atom_site_type_symbol
_atom_site_fract_x
_atom_site_fract_y
_atom_site_fract_z
Tm1 Tm 0.0000 0.0000 0.0000
Zr1 Zr 0.5000 0.5000 0.5000
Zn1 Zn 0.0000 0.0000 0.5000
Zn2 Zn 0.5000 0.5000 0.0000
Pd1 Pd 0.0000 0.5000 0.2584
```